The following is a PBE calculation of a geometry-optimized NdDy2YEr6 structure, from the Alexandria database.

extended XYZ file:
```
20
Lattice="9.0405 -2.0356 -2.1125 0.8409 8.4736 -2.0195 0.8409 -2.3321 8.3930" Properties=species:S:1:pos:R:3 pbc="T T T"
Nd 3.1011 7.6956 -2.2883
Nd 7.6213 -3.5897 6.5492
Dy 5.3691 4.2526 3.2626
Dy 0.8330 2.0209 0.9466
Dy 5.3533 -0.1468 0.9984
Dy 9.8894 2.0849 3.3144
Y 3.1011 1.5799 3.6048
Y 7.6213 2.5259 0.6562
Er 1.2530 -0.8108 5.9127
Er 4.9491 -0.8150 5.9083
Er 9.4693 4.9167 -1.6518
Er 5.7733 4.9209 -1.6474
Er 4.0596 6.6423 0.9798
Er 2.1425 4.3907 -1.3569
Er 6.6628 -2.5365 3.2812
Er 8.5799 -0.2849 5.6178
Er 2.0836 4.6201 2.4449
Er 4.1185 2.8516 0.6097
Er 8.6388 -0.5143 1.8160
Er 6.6039 1.2542 3.6513
```

Formation enthalpy at 0 K ... 0.12 eV/atom
D(E_F) ... 29.05 states/eV per cell
Space-group type ... No. 15
Total magnetic moment ... 0.0000 μB per atom

***

The following is a PBE calculation of a geometry-optimized NdDy2Y5Er structure, from the Alexandria database.

extended XYZ file:
```
18
Lattice="-4.2358 4.6152 -6.3916 -6.8997 1.3403 5.5402 8.7174 3.2565 2.8400" Properties=species:S:1:pos:R:3 pbc="T T T"
Nd 1.5748 3.1172 1.2072
Nd -3.9929 6.0949 0.7814
Dy -3.1501 1.0386 1.4276
Dy -3.3707 2.9777 -3.2916
Dy -7.7647 2.9778 2.4402
Dy -7.9853 4.9169 -2.2791
Y -4.5675 5.7164 -2.8071
Y 2.4804 5.6685 -1.2467
Y 2.1495 3.4957 4.7957
Y 5.2185 3.2404 1.4511
Y -0.5886 5.9238 2.0979
Y -7.6366 5.9716 0.5375
Y -1.8294 3.2883 -0.1093
Y -4.8985 3.5435 3.2354
Y -5.5677 2.9778 -0.4257
Y 0.0000 0.0000 0.0000
Er -1.8750 3.7873 3.9773
Er -0.5431 5.4248 -1.9887
```

Formation enthalpy at 0 K ... 0.28 eV/atom
D(E_F) ... 24.05 states/eV per cell
Space-group type ... No. 140
Total magnetic moment ... 0.0000 μB per atom

***

The following is a PBE calculation of a geometry-optimized NdDyYEr structure, from the Alexandria database.

extended XYZ file:
```
4
Lattice="-3.1293 -0.5891 1.6710 2.4811 -2.5991 -0.1384 5.8330 5.0968 8.8554" Properties=species:S:1:pos:R:3 pbc="T T T"
Nd 0.0718 0.3170 4.8452
Dy 2.4835 2.5445 6.2831
Y 2.6294 -2.0158 1.0788
Er 5.4664 2.8087 8.0921
```

Formation enthalpy at 0 K ... 0.02 eV/atom
D(E_F) ... 5.80 states/eV per cell
Space-group type ... No. 160
Total magnetic moment ... 0.0001 μB per atom

***

The following is a PBE calculation of a geometry-optimized Nd2DyY2Er4 structure, from the Alexandria database.

extended XYZ file:
```
9
Lattice="-0.0994 3.2446 -1.5463 -0.9076 -5.6386 -7.5928 -8.1292 1.9520 4.6181" Properties=species:S:1:pos:R:3 pbc="T T T"
Nd -8.7606 -0.7376 -0.9848
Nd -0.3756 0.2955 -3.5362
Dy 0.0000 0.0000 0.0000
Y -3.4734 -0.5573 -5.1265
Y -5.6628 0.1152 0.6055
Er -6.0445 0.3882 -2.9775
Er -3.0917 -0.8303 -1.5435
Er -2.8044 2.1193 0.4467
Er -6.3318 -2.5614 -4.9677
```

Formation enthalpy at 0 K ... 0.00 eV/atom
D(E_F) ... 12.41 states/eV per cell
Space-group type ... No. 12
Total magnetic moment ... 0.0000 μB per atom

***

The following is a PBE calculation of a geometry-optimized Nd3DyY2Er6 structure, from the Alexandria database.

extended XYZ file:
```
12
Lattice="-2.0298 -2.1138 5.4419 -1.9815 -2.5889 -5.2511 10.1516 -5.9455 0.3101" Properties=species:S:1:pos:R:3 pbc="T T T"
Nd 3.0863 -5.4825 -3.3134
Nd 3.0540 -5.1658 3.8143
Nd 3.0701 -5.3241 0.2504
Dy 0.0000 0.0000 0.0000
Y -1.9976 -2.4305 -1.6871
Y -2.0137 -2.2722 1.8779
Er 4.6193 -7.9294 2.1552
Er -0.4968 -4.9961 0.2197
Er 1.5210 -2.7188 -1.6543
Er 4.6353 -8.0874 -1.4017
Er 6.6371 -5.6522 0.2811
Er 1.5049 -2.5608 1.9026
```

Formation enthalpy at 0 K ... 0.02 eV/atom
D(E_F) ... 16.25 states/eV per cell
Space-group type ... No. 12
Total magnetic moment ... 0.0000 μB per atom

***

The following is a PBE calculation of a geometry-optimized NdDyYEr2 structure, from the Alexandria database.

extended XYZ file:
```
10
Lattice="-3.8312 -5.9298 -1.4614 -1.4507 -1.0799 8.1849 -4.0297 3.7166 -4.5161" Properties=species:S:1:pos:R:3 pbc="T T T"
Nd -3.8311 -0.5874 3.5357
Nd -5.4805 -2.7056 -1.3283
Dy -5.7080 -3.5781 2.8084
Dy -3.6036 0.2851 -0.6011
Y -6.4290 1.1481 3.3042
Y -2.8826 -4.4412 -1.0969
Er -2.3673 -3.3011 1.8179
Er -0.9990 -0.7436 5.6362
Er -2.9146 -3.7085 4.9055
Er -0.4517 -0.3363 2.5486
```

Formation enthalpy at 0 K ... 0.39 eV/atom
D(E_F) ... 13.64 states/eV per cell
Space-group type ... No. 63
Total magnetic moment ... 0.0001 μB per atom

***

The following is a PBE calculation of a geometry-optimized Nd6Dy2YEr structure, from the Alexandria database.

extended XYZ file:
```
20
Lattice="-5.2060 8.1148 0.7012 -6.2748 -5.0714 3.9489 6.7001 3.1545 5.0837" Properties=species:S:1:pos:R:3 pbc="T T T"
Nd 4.0700 2.2281 4.3826
Nd 2.0751 5.1890 5.7286
Nd -8.8507 3.9699 5.3513
Nd -6.8558 1.0089 4.0053
Nd -4.9127 -1.1153 6.3351
Nd -4.4525 -1.3010 2.4195
Nd 0.1320 7.3132 3.3988
Nd -0.3283 7.4989 7.3143
Nd -1.7551 -1.0806 5.3937
Nd -3.2155 1.4504 3.7453
Nd -3.0257 7.2785 4.3402
Nd -1.5652 4.7475 5.9886
Dy -2.7060 1.8382 7.0289
Dy -0.7854 -0.5306 2.2394
Dy -2.0747 4.3597 2.7050
Dy -3.9953 6.7285 7.4944
Y -7.2368 -2.8275 4.1539
Y 2.4560 9.0254 5.5799
Er 0.0627 1.8003 4.7923
Er -4.8435 4.3976 4.9415
```

Formation enthalpy at 0 K ... 0.11 eV/atom
D(E_F) ... 28.17 states/eV per cell
Space-group type ... No. 15
Total magnetic moment ... 0.0001 μB per atom

***

The following is a PBE calculation of a geometry-optimized NdDy3Y6Er2 structure, from the Alexandria database.

extended XYZ file:
```
12
Lattice="-1.6243 5.8131 -1.2569 -2.1861 -4.6206 -3.4470 -7.8659 -1.4023 8.6983" Properties=species:S:1:pos:R:3 pbc="T T T"
Nd 0.0000 0.0000 0.0000
Dy -6.0253 -3.5796 1.2678
Dy -5.6511 3.3698 2.7266
Dy -5.8382 -0.1049 1.9972
Y -8.6533 1.5849 3.3600
Y -4.8279 0.5429 -1.3477
Y -3.0230 -1.7947 0.6344
Y -8.8410 -1.9000 2.6285
Y -6.8484 -0.7526 5.3421
Y -2.8354 1.6902 1.3660
Er -1.9989 -1.1437 -2.7172
Er -1.8115 2.3362 -1.9867
```

Formation enthalpy at 0 K ... 0.02 eV/atom
D(E_F) ... 16.82 states/eV per cell
Space-group type ... No. 12
Total magnetic moment ... 0.0000 μB per atom

***

The following is a PBE calculation of a geometry-optimized Nd6DyY2Er structure, from the Alexandria database.

extended XYZ file:
```
20
Lattice="9.1568 -1.9750 -2.0496 0.8704 8.7160 -2.0200 0.8704 -2.3417 8.6351" Properties=species:S:1:pos:R:3 pbc="T T T"
Nd 1.2806 -0.8837 6.2499
Nd 5.0385 -0.8915 6.2417
Nd 9.6169 5.2829 -1.6844
Nd 5.8591 5.2908 -1.6762
Nd 4.0929 7.0127 1.1281
Nd 2.2263 4.5193 -1.4594
Nd 6.8047 -2.6134 3.4373
Nd 8.6713 -0.1201 6.0248
Nd 2.1031 4.8058 2.5145
Nd 4.2161 3.0521 0.6946
Nd 8.7945 -0.4065 2.0509
Nd 6.6815 1.3472 3.8709
Dy 3.1596 7.8854 -2.2079
Dy 7.7380 -3.4861 6.7733
Y 5.4468 4.4146 3.5236
Y 0.8723 2.0292 1.0481
Y 5.4507 -0.0153 1.0418
Y 10.0253 2.3701 3.5173
Er 3.1596 1.7177 3.7353
Er 7.7380 2.6816 0.8301
```

Formation enthalpy at 0 K ... 0.12 eV/atom
D(E_F) ... 29.39 states/eV per cell
Space-group type ... No. 15
Total magnetic moment ... 0.0000 μB per atom

***

The following is a PBE calculation of a geometry-optimized Nd6Dy3YEr2 structure, from the Alexandria database.

extended XYZ file:
```
12
Lattice="6.2713 -0.0006 0.0056 -3.1346 5.4317 0.0056 -1.0525 -1.8224 11.6560" Properties=species:S:1:pos:R:3 pbc="T T T"
Nd 3.1327 1.7932 8.7550
Nd 2.0877 3.6147 2.9191
Nd -1.0485 1.8155 2.9122
Nd -0.0124 3.6096 8.7550
Nd -0.0035 -0.0060 8.7481
Nd 2.0965 -0.0009 2.9122
Dy -2.0924 3.6146 5.8336
Dy 4.1766 -0.0059 5.8336
Dy 1.0421 1.8044 5.8336
Y 0.0000 0.0000 0.0000
Er 0.0017 3.6204 0.0056
Er 3.1350 1.8108 0.0056
```

Formation enthalpy at 0 K ... 0.01 eV/atom
D(E_F) ... 13.38 states/eV per cell
Space-group type ... No. 12
Total magnetic moment ... 0.0000 μB per atom